The following is a PBE calculation of Dy2Pd3Au2 after structural relaxation, from Alexandria via LeMat-Bulk.

## Properties
D(E_F) (states/eV per cell): 5.27
Theoretical density (g cm⁻³): 12.22
E_form (eV per atom): -0.64

Unit cell a=11.300 b=4.252 c=5.874 alpha=90.00 beta=90.42 gamma=90.00
Atoms (fractional coordinates):
Dy: 0.142 0.000 0.134
Dy: 0.358 0.500 0.866
Dy: 0.642 0.500 0.134
Dy: 0.858 0.000 0.866
Pd: 0.000 0.000 0.500
Pd: 0.231 0.000 0.645
Pd: 0.269 0.500 0.355
Pd: 0.500 0.500 0.500
Pd: 0.731 0.500 0.645
Pd: 0.769 0.000 0.355
Au: 0.077 0.500 0.789
Au: 0.423 0.000 0.211
Au: 0.577 0.000 0.789
Au: 0.923 0.500 0.211



The following is a PBE calculation of NdAl4Co after structural relaxation, from Alexandria via LeMat-Bulk.

## Properties
D(E_F) (states/eV per cell): 2.93
Theoretical density (g cm⁻³): 4.84
E_form (eV per atom): -0.52

Unit cell a=7.686 b=4.032 c=6.884 alpha=90.00 beta=90.00 gamma=90.00
Atoms (fractional coordinates):
Nd: 0.250 0.000 0.116
Nd: 0.750 0.000 0.884
Al: 0.000 0.000 0.500
Al: 0.070 0.500 0.800
Al: 0.250 0.500 0.458
Al: 0.430 0.500 0.800
Al: 0.500 0.000 0.500
Al: 0.570 0.500 0.200
Al: 0.750 0.500 0.542
Al: 0.930 0.500 0.200
Co: 0.250 0.000 0.685
Co: 0.750 0.000 0.315



The following is a PBE calculation of Na3Pu3AuS8 after structural relaxation, from Alexandria via LeMat-Bulk.

## Properties
D(E_F) (states/eV per cell): 26.90
Theoretical density (g cm⁻³): 5.79
ΔE_f (raw) (meV per atom): -1155.4

Unit cell a=7.827 b=7.827 c=8.025 alpha=118.47 beta=118.47 gamma=61.59
Atoms (fractional coordinates):
Na: 0.000 0.000 0.000
Na: 0.000 0.500 0.000
Na: 0.500 0.000 0.000
Pu: 0.000 0.500 0.500
Pu: 0.500 0.000 0.500
Pu: 0.500 0.500 0.500
Au: 0.000 0.000 0.500
S: 0.221 0.221 0.705
S: 0.254 0.254 0.270
S: 0.256 0.723 0.731
S: 0.277 0.744 0.269
S: 0.723 0.256 0.731
S: 0.744 0.277 0.269
S: 0.746 0.746 0.730
S: 0.779 0.779 0.295



Copy entry 3 word for word.
The following is a PBE calculation of Na3Pu3AuS8 after structural relaxation, from Alexandria via LeMat-Bulk.

## Properties
D(E_F) (states/eV per cell): 26.90
Theoretical density (g cm⁻³): 5.79
ΔE_f (raw) (meV per atom): -1155.4

Unit cell a=7.827 b=7.827 c=8.025 alpha=118.47 beta=118.47 gamma=61.59
Atoms (fractional coordinates):
Na: 0.000 0.000 0.000
Na: 0.000 0.500 0.000
Na: 0.500 0.000 0.000
Pu: 0.000 0.500 0.500
Pu: 0.500 0.000 0.500
Pu: 0.500 0.500 0.500
Au: 0.000 0.000 0.500
S: 0.221 0.221 0.705
S: 0.254 0.254 0.270
S: 0.256 0.723 0.731
S: 0.277 0.744 0.269
S: 0.723 0.256 0.731
S: 0.744 0.277 0.269
S: 0.746 0.746 0.730
S: 0.779 0.779 0.295